Entry from the Alexandria database: a relaxed structure of CoWAu2 (PBE-GGA).

Calculated values
**SG**: I-42d
**DFT total energy**: -45.6 eV per cell
**N(E_F)**: 1.411 states/eV/atom
**Crystal system**: tetragonal
**Excess energy over the best structure of this formula in the dataset**: 773 meV per atom
**DFT formation energy**: 0.956 eV/atom
**Spin magnetization**: 0.0 μB per cell

Cell lengths 7.1862, 7.1862, 5.7107 Å; angles 51.01, 51.01, 90.00 degrees
Element x y z (fractional)
Co  0.5000  0.5000  0.0000
Co  0.2500  0.7500  0.5000
Au  0.6074  0.1250  0.2500
Au  0.1426  0.6250  0.2500
Au  0.3750  0.3926  0.7500
Au  0.8750  0.8574  0.7500
W  0.0000  0.0000  0.0000
W  0.7500  0.2500  0.5000